Record 1
Compound: Sc2Pd2Au
Source: Alexandria via LeMat-Bulk
Functional: PBE
Structure: relaxed

Calculated values
mass density = 8.75 Mg/m³
formation enthalpy at 0 K = -0.64 eV per atom
DFT total energy = -5.90 eV per atom
Fermi-level density of states = 6.48 states/eV/cell
total magnetic moment = 0.000 μB per formula unit
space group = P4/mbm, No. 127
offset from the most stable computed form = 186 meV per atom

CIF file:
```
data_Sc2Pd2Au
_chemical_formula_sum 'Sc4 Pd4 Au2'
_symmetry_space_group_name_H-M 'P 1'
_symmetry_Int_Tables_number 1
_cell_length_a 7.6828
_cell_length_b 7.6828
_cell_length_c 3.2138
_cell_angle_alpha 90.00
_cell_angle_beta 90.00
_cell_angle_gamma 90.00
loop_
_symmetry_equiv_pos_as_xyz
'x,y,z'
loop_
_atom_site_label
_atom_site_fract_x
_atom_site_fract_y
_atom_site_fract_z
_atom_site_occupancy
Pd1 0.8657 0.3657 0.5000 1
Sc1 0.1595 0.3405 0.0000 1
Sc2 0.3405 0.8405 0.0000 1
Sc3 0.8405 0.6595 0.0000 1
Au1 0.5000 0.5000 0.0000 1
Pd2 0.3657 0.1343 0.5000 1
Sc4 0.6595 0.1595 0.0000 1
Au2 0.0000 0.0000 0.0000 1
Pd3 0.6343 0.8657 0.5000 1
Pd4 0.1343 0.6343 0.5000 1
```

Record 2
Compound: Sc2Pd2Au
Source: Alexandria via LeMat-Bulk
Functional: PBE
Structure: relaxed

Calculated values
mass density = 8.97 Mg/m³
formation enthalpy at 0 K = -0.83 eV per atom
DFT total energy = -6.09 eV per atom
Fermi-level density of states = 5.89 states/eV/cell
total magnetic moment = 0.000 μB per formula unit
space group = P4/mbm, No. 127
offset from the most stable computed form = 0 meV per atom

CIF file:
```
data_Sc2Pd2Au
_chemical_formula_sum 'Sc4 Pd4 Au2'
_symmetry_space_group_name_H-M 'P 1'
_symmetry_Int_Tables_number 1
_cell_length_a 7.4598
_cell_length_b 7.4598
_cell_length_c 3.3242
_cell_angle_alpha 90.00
_cell_angle_beta 90.00
_cell_angle_gamma 90.00
loop_
_symmetry_equiv_pos_as_xyz
'x,y,z'
loop_
_atom_site_label
_atom_site_fract_x
_atom_site_fract_y
_atom_site_fract_z
_atom_site_occupancy
Sc1 0.6709 0.8291 0.5000 1
Sc2 0.8291 0.3291 0.5000 1
Pd1 0.6309 0.1309 0.0000 1
Sc3 0.3291 0.1709 0.5000 1
Pd2 0.3691 0.8691 0.0000 1
Sc4 0.1709 0.6709 0.5000 1
Pd3 0.8691 0.6309 0.0000 1
Pd4 0.1309 0.3691 0.0000 1
Au1 0.5000 0.5000 0.0000 1
Au2 0.0000 0.0000 0.0000 1
```

Record 3
Compound: Sc2PdAu2
Source: Alexandria via LeMat-Bulk
Functional: PBE
Structure: relaxed

Calculated values
mass density = 9.89 Mg/m³
formation enthalpy at 0 K = -0.57 eV per atom
DFT total energy = -5.46 eV per atom
Fermi-level density of states = 4.36 states/eV/cell
total magnetic moment = 0.000 μB per formula unit
space group = P4/mbm, No. 127
offset from the most stable computed form = 139 meV per atom

CIF file:
```
data_Sc2PdAu2
_chemical_formula_sum 'Sc4 Pd2 Au4'
_symmetry_space_group_name_H-M 'P 1'
_symmetry_Int_Tables_number 1
_cell_length_a 7.6188
_cell_length_b 7.6188
_cell_length_c 3.4163
_cell_angle_alpha 90.00
_cell_angle_beta 90.00
_cell_angle_gamma 90.00
loop_
_symmetry_equiv_pos_as_xyz
'x,y,z'
loop_
_atom_site_label
_atom_site_fract_x
_atom_site_fract_y
_atom_site_fract_z
_atom_site_occupancy
Au1 0.8643 0.3643 0.5000 1
Sc1 0.8378 0.6622 0.0000 1
Sc2 0.3378 0.8378 0.0000 1
Au2 0.6357 0.8643 0.5000 1
Sc3 0.6622 0.1622 0.0000 1
Pd1 0.0000 0.0000 0.0000 1
Sc4 0.1622 0.3378 0.0000 1
Au3 0.1357 0.6357 0.5000 1
Pd2 0.5000 0.5000 0.0000 1
Au4 0.3643 0.1357 0.5000 1
```

Record 4
Compound: Sc2Pd8Au
Source: Alexandria via LeMat-Bulk
Functional: PBE
Structure: relaxed

Calculated values
mass density = 10.51 Mg/m³
formation enthalpy at 0 K = -0.56 eV per atom
DFT total energy = -5.79 eV per atom
Fermi-level density of states = 4.06 states/eV/cell
total magnetic moment = 0.000 μB per formula unit
space group = C2/m, No. 12

CIF file:
```
data_Sc2Pd8Au
_chemical_formula_sum 'Sc2 Pd8 Au1'
_symmetry_space_group_name_H-M 'P 1'
_symmetry_Int_Tables_number 1
_cell_length_a 4.1021
_cell_length_b 6.4110
_cell_length_c 7.4483
_cell_angle_alpha 106.50
_cell_angle_beta 105.98
_cell_angle_gamma 90.00
loop_
_symmetry_equiv_pos_as_xyz
'x,y,z'
loop_
_atom_site_label
_atom_site_fract_x
_atom_site_fract_y
_atom_site_fract_z
_atom_site_occupancy
Pd1 0.4037 0.5464 0.8074 1
Sc1 0.7817 0.3365 0.5633 1
Pd2 0.5963 0.4536 0.1926 1
Pd3 0.1457 0.1972 0.2913 1
Pd4 0.6769 0.9071 0.3538 1
Sc2 0.2183 0.6635 0.4367 1
Pd5 0.9586 0.2758 0.9172 1
Au1 0.5000 0.0000 0.0000 1
Pd6 0.0414 0.7242 0.0828 1
Pd7 0.3231 0.0929 0.6462 1
Pd8 0.8543 0.8028 0.7087 1
```

Record 5
Compound: Sc2Pd5Au5
Source: Alexandria via LeMat-Bulk
Functional: PBE
Structure: relaxed

Calculated values
mass density = 13.10 Mg/m³
formation enthalpy at 0 K = -0.57 eV per atom
DFT total energy = -5.16 eV per atom
Fermi-level density of states = 3.88 states/eV/cell
total magnetic moment = 0.000 μB per formula unit
space group = C2/m, No. 12

CIF file:
```
data_Sc2Pd5Au5
_chemical_formula_sum 'Sc2 Pd5 Au5'
_symmetry_space_group_name_H-M 'P 1'
_symmetry_Int_Tables_number 1
_cell_length_a 4.0125
_cell_length_b 6.4903
_cell_length_c 8.7151
_cell_angle_alpha 72.63
_cell_angle_beta 76.69
_cell_angle_gamma 71.99
loop_
_symmetry_equiv_pos_as_xyz
'x,y,z'
loop_
_atom_site_label
_atom_site_fract_x
_atom_site_fract_y
_atom_site_fract_z
_atom_site_occupancy
Sc1 0.9172 0.4099 0.7557 1
Pd1 0.5000 0.5000 0.5000 1
Au1 0.8360 0.8306 0.4974 1
Au2 0.0000 0.0000 0.0000 1
Au3 0.2523 0.7420 0.7534 1
Sc2 0.0828 0.5901 0.2443 1
Au4 0.1640 0.1694 0.5026 1
Au5 0.7477 0.2580 0.2466 1
Pd2 0.6654 0.6688 0.0004 1
Pd3 0.3346 0.3312 0.9996 1
Pd4 0.5775 0.0933 0.7518 1
Pd5 0.4225 0.9067 0.2482 1
```

Record 6
Compound: ScPdAu4
Source: Alexandria via LeMat-Bulk
Functional: PBE
Structure: relaxed

Calculated values
mass density = 14.67 Mg/m³
formation enthalpy at 0 K = -0.47 eV per atom
DFT total energy = -4.57 eV per atom
Fermi-level density of states = 3.23 states/eV/cell
total magnetic moment = 0.000 μB per formula unit
space group = C2/m, No. 12
offset from the most stable computed form = 0 meV per atom

CIF file:
```
data_ScPdAu4
_chemical_formula_sum 'Sc1 Pd1 Au4'
_symmetry_space_group_name_H-M 'P 1'
_symmetry_Int_Tables_number 1
_cell_length_a 5.0869
_cell_length_b 5.0867
_cell_length_c 5.0985
_cell_angle_alpha 79.09
_cell_angle_beta 79.09
_cell_angle_gamma 119.60
loop_
_symmetry_equiv_pos_as_xyz
'x,y,z'
loop_
_atom_site_label
_atom_site_fract_x
_atom_site_fract_y
_atom_site_fract_z
_atom_site_occupancy
Pd1 0.9981 0.5027 0.5013 1
Sc1 0.4981 0.0028 0.0013 1
Au1 0.1629 0.3381 0.0012 1
Au2 0.8334 0.6674 0.0014 1
Au3 0.3327 0.1679 0.5014 1
Au4 0.6636 0.8374 0.5012 1
```

- What is the formula in the fourth record?
  Sc2Pd8Au

- Among the records above, which one has the lowest DFT total energy?
  number 2

Copy entry 2 word for word.
Compound: Sc2Pd2Au
Source: Alexandria via LeMat-Bulk
Functional: PBE
Structure: relaxed

Calculated values
mass density = 8.97 Mg/m³
formation enthalpy at 0 K = -0.83 eV per atom
DFT total energy = -6.09 eV per atom
Fermi-level density of states = 5.89 states/eV/cell
total magnetic moment = 0.000 μB per formula unit
space group = P4/mbm, No. 127
offset from the most stable computed form = 0 meV per atom

CIF file:
```
data_Sc2Pd2Au
_chemical_formula_sum 'Sc4 Pd4 Au2'
_symmetry_space_group_name_H-M 'P 1'
_symmetry_Int_Tables_number 1
_cell_length_a 7.4598
_cell_length_b 7.4598
_cell_length_c 3.3242
_cell_angle_alpha 90.00
_cell_angle_beta 90.00
_cell_angle_gamma 90.00
loop_
_symmetry_equiv_pos_as_xyz
'x,y,z'
loop_
_atom_site_label
_atom_site_fract_x
_atom_site_fract_y
_atom_site_fract_z
_atom_site_occupancy
Sc1 0.6709 0.8291 0.5000 1
Sc2 0.8291 0.3291 0.5000 1
Pd1 0.6309 0.1309 0.0000 1
Sc3 0.3291 0.1709 0.5000 1
Pd2 0.3691 0.8691 0.0000 1
Sc4 0.1709 0.6709 0.5000 1
Pd3 0.8691 0.6309 0.0000 1
Pd4 0.1309 0.3691 0.0000 1
Au1 0.5000 0.5000 0.0000 1
Au2 0.0000 0.0000 0.0000 1
```

- mass density of number 1 (Sc2Pd2Au)?
  8.75 Mg/m³